(1)
Entry from Alexandria: BeCSeBr2 after structural relaxation (PBE-GGA).

The calculation puts the density of states at the Fermi level at 0.70 states/eV per atom. The distance to the lowest polymorph of the same formula comes out at 0.0000 eV per atom.

a = 4.7305 Å, b = 4.7305 Å, c = 4.6722 Å
α = 90.00°, β = 90.00°, γ = 90.00°
Last column: nearest neighbours and their distance in Å.
Space group P4/mmm (No. 123)
Inequivalent atoms, fractional coordinates:
Be 0.0000 0.0000 0.0000  2 Se 2.34, 4 Br 2.37
C 0.5000 0.5000 0.5000  8 Br 3.32, 4 Se 3.34
Se 0.0000 0.0000 0.5000  2 Be 2.34
Br 0.0000 0.5000 0.0000  2 Be 2.37

***

(2)
Entry from Alexandria: SrBeC2Br after structural relaxation (PBE-GGA).

The calculation puts the density of states at the Fermi level at 0.61 states/eV per atom.

a = 4.4643 Å, b = 4.4643 Å, c = 5.5488 Å
α = 90.00°, β = 90.00°, γ = 90.00°
Last column: nearest neighbours and their distance in Å.
Space group P4/mmm (No. 123)
Inequivalent atoms, fractional coordinates:
Sr 0.0000 0.0000 0.0000  2 Br 2.77
Be 0.5000 0.5000 0.0000  4 Sr 3.16
C 0.0000 0.5000 0.5000  2 Br 2.23
Br 0.0000 0.0000 0.5000  4 C 2.23

***

(3)
Entry from Alexandria: CaBe2Br after structural relaxation (PBE-GGA).

The calculation puts the density of states at the Fermi level at 0.36 states/eV per atom. The distance to the lowest polymorph of the same formula comes out at 0.6123 eV per atom.

a = 3.3802 Å, b = 3.3802 Å, c = 6.6649 Å
α = 90.00°, β = 90.00°, γ = 90.00°
Last column: nearest neighbours and their distance in Å.
Space group P4/mmm (No. 123)
Inequivalent atoms, fractional coordinates:
Ca 0.0000 0.0000 0.0000  8 Be 3.17, 2 Br 3.33, 4 Ca 3.38
Be 0.5000 0.5000 0.3135  1 Be 2.49, 4 Br 2.69
Br 0.0000 0.0000 0.5000  8 Be 2.69

***

(4)
Entry from Alexandria: CaBe2Br after structural relaxation (PBE-GGA).

The calculation puts the density of states at the Fermi level at 0.55 states/eV per atom. The distance to the lowest polymorph of the same formula comes out at 0.0000 eV per atom.

a = 3.9877 Å, b = 3.9877 Å, c = 6.2532 Å
α = 90.00°, β = 90.00°, γ = 120.00°
Last column: nearest neighbours and their distance in Å.
Space group P3m1 (No. 156)
Inequivalent atoms, fractional coordinates:
Ca 0.0000 0.0000 0.0000  6 Be 2.91-3.00, 3 Br 2.99
Be 0.3333 0.6667 0.6932  3 Be 2.31, 1 Br 2.42
Be 0.6667 0.3333 0.7158  3 Be 2.31
Br 0.3333 0.6667 0.3061  1 Be 2.42

***

(5)
Entry from Alexandria: CaBe2Br after structural relaxation (PBE-GGA).

The calculation puts the density of states at the Fermi level at 0.45 states/eV per atom. The distance to the lowest polymorph of the same formula comes out at 0.3818 eV per atom.

a = 5.4205 Å, b = 11.1401 Å, c = 3.8186 Å
α = 90.00°, β = 133.11°, γ = 90.00°
Last column: nearest neighbours and their distance in Å.
Space group C2/m (No. 12)
Inequivalent atoms, fractional coordinates:
Ca 0.0000 0.0000 0.0000  4 Br 2.71-2.79
Be 0.2500 0.2500 0.5000  4 Be 2.71-2.79
Br 0.0000 0.5000 0.0000  4 Ca 2.71-2.79

***

(6)
Entry from Alexandria: CaBe2Br after structural relaxation (PBE-GGA).

The calculation puts the density of states at the Fermi level at 0.60 states/eV per atom. The distance to the lowest polymorph of the same formula comes out at 0.4438 eV per atom.

a = 3.6416 Å, b = 4.0998 Å, c = 5.7139 Å
α = 90.00°, β = 90.00°, γ = 90.00°
Last column: nearest neighbours and their distance in Å.
Space group Pmmm (No. 47)
Inequivalent atoms, fractional coordinates:
Ca 0.0000 0.0000 0.0000  4 Br 2.74
Be 0.0000 0.5000 0.5000  4 Be 2.74
Be 0.5000 0.0000 0.5000  4 Be 2.74
Br 0.5000 0.5000 0.0000  4 Ca 2.74

***

Uncorrected formation energy for every record listed, in sequence, given in eV/atom: 1.385 2.539 0.536 -0.076 0.306 0.368.
Total moment for every record listed, in sequence, given in μB/cell: 0.91 0.00 0.00 0.00 0.00 0.00.
Energy for every record listed, in sequence, given in eV per atom: -2.571 -2.567 -2.245 -2.858 -2.476 -2.414.